Material: AlMo2P
Method: DFT, PBE
State: optimized geometry

Unit cell a=3.444 b=3.035 c=6.101 alpha=70.62 beta=90.00 gamma=90.00
Element x y z (fractional)
Al: 0.500 0.750 0.750
Mo: 0.000 0.108 0.023
P: 0.500 0.250 0.250
Mo: 0.000 0.392 0.477

Calculated values
Its polymorph energy (0 for the lowest one) is 196 meV/atom. The calculated total energy comes out at -31.39 eV per cell. Its symmetry is P2/m.

---

Material: AlMo2P
Method: DFT, PBE
State: optimized geometry

Unit cell a=4.948 b=4.948 c=4.948 alpha=135.76 beta=135.76 gamma=64.35
Element x y z (fractional)
Mo: 0.000 0.000 0.000
Mo: 0.250 0.750 0.500
P: 0.500 0.500 0.000
Al: 0.750 0.250 0.500

Calculated values
Its polymorph energy (0 for the lowest one) is 334 meV/atom. The calculated total energy comes out at -30.84 eV per cell. Its symmetry is I-4m2.

---

Material: Al2MoP
Method: DFT, PBE
State: optimized geometry

Unit cell a=3.372 b=3.372 c=5.120 alpha=90.00 beta=90.00 gamma=90.00
Element x y z (fractional)
Mo: 0.500 0.500 0.250
P: 0.500 0.500 0.750
Al: 0.000 0.000 0.000
Al: 0.000 0.000 0.500

Calculated values
The calculated total energy comes out at -24.67 eV per cell. Its symmetry is P4/mmm.

---

Material: AlMoP2
Method: DFT, PBE
State: optimized geometry

Unit cell a=4.801 b=4.801 c=4.128 alpha=89.77 beta=89.77 gamma=39.28
Element x y z (fractional)
Al: 0.473 0.473 0.628
P: 0.001 0.001 0.108
P: 0.733 0.733 0.622
Mo: 0.292 0.292 0.142

Calculated values
Its polymorph energy (0 for the lowest one) is 31 meV/atom. The calculated total energy comes out at -26.31 eV per cell. Its symmetry is Cm.

---

Material: AlMoP2Pt
Method: DFT, PBE
State: optimized geometry

Unit cell a=4.441 b=4.441 c=4.627 alpha=90.00 beta=90.00 gamma=90.00
Element x y z (fractional)
Al: 0.000 0.000 0.000
Pt: 0.500 0.500 0.500
P: 0.500 0.000 0.000
P: 0.000 0.500 0.000
Mo: 0.000 0.000 0.500

Calculated values
The calculated total energy comes out at -25.46 eV per cell. Its symmetry is P4/mmm.

---

Material: AlMoPRh2
Method: DFT, PBE
State: optimized geometry

Unit cell a=4.650 b=4.823 c=4.650 alpha=90.00 beta=90.00 gamma=90.00
Element x y z (fractional)
Rh: 0.500 0.000 0.000
Rh: 0.000 0.000 0.500
P: 0.500 0.500 0.500
Al: 0.000 0.500 0.000
Mo: 0.000 0.000 0.000

Calculated values
The calculated total energy comes out at -28.46 eV per cell. Its symmetry is P4/mmm.

---

Material: AlMoP2S
Method: DFT, PBE
State: optimized geometry

Unit cell a=4.556 b=4.556 c=4.591 alpha=90.00 beta=90.00 gamma=90.00
Element x y z (fractional)
Al: 0.000 0.000 0.000
P: 0.500 0.000 0.000
Mo: 0.500 0.500 0.500
P: 0.000 0.500 0.000
S: 0.000 0.000 0.500

Calculated values
Its polymorph energy (0 for the lowest one) is 458 meV/atom. The value obtained for the uncorrected formation energy is 0.8627 eV/atom. The calculated total energy comes out at -25.21 eV per cell. Its symmetry is P4/mmm.

---

Material: AlMoP2S
Method: DFT, PBE
State: optimized geometry

Unit cell a=4.735 b=4.735 c=4.687 alpha=90.00 beta=90.00 gamma=90.00
Element x y z (fractional)
Al: 0.500 0.500 0.500
P: 0.500 0.000 0.000
P: 0.000 0.500 0.000
S: 0.000 0.000 0.500
Mo: 0.000 0.000 0.000

Calculated values
Its polymorph energy (0 for the lowest one) is 0 meV/atom. The value obtained for the uncorrected formation energy is 0.4047 eV/atom. The calculated total energy comes out at -27.50 eV per cell. Its symmetry is P4/mmm.

---

Material: AlSb2MoP
Method: DFT, PBE
State: optimized geometry

Unit cell a=5.144 b=4.839 c=5.144 alpha=90.00 beta=90.00 gamma=90.00
Element x y z (fractional)
Sb: 0.000 0.000 0.500
P: 0.500 0.500 0.500
Sb: 0.500 0.000 0.000
Mo: 0.000 0.500 0.000
Al: 0.000 0.000 0.000

Calculated values
The value obtained for the uncorrected formation energy is 1.3472 eV/atom. The calculated total energy comes out at -21.49 eV per cell. Its symmetry is P4/mmm.

---

Material: ScAl2MoP
Method: DFT, PBE
State: optimized geometry

Unit cell a=5.124 b=4.552 c=5.124 alpha=90.00 beta=90.00 gamma=90.00
Element x y z (fractional)
Mo: 0.000 0.500 0.000
P: 0.500 0.500 0.500
Al: 0.500 0.000 0.000
Al: 0.000 0.000 0.500
Sc: 0.000 0.000 0.000

Calculated values
The calculated total energy comes out at -22.33 eV per cell. Its symmetry is P4/mmm.

---

Material: AlZnMo2P
Method: DFT, PBE
State: optimized geometry

Unit cell a=4.526 b=4.313 c=4.526 alpha=90.00 beta=90.00 gamma=90.00
Element x y z (fractional)
Al: 0.500 0.500 0.500
Zn: 0.000 0.500 0.000
Mo: 0.500 0.000 0.000
Mo: 0.000 0.000 0.500
P: 0.000 0.000 0.000

Calculated values
The calculated total energy comes out at -29.32 eV per cell. Its symmetry is P4/mmm.

---

Material: PaAlMo2
Method: DFT, PBE
State: optimized geometry

Unit cell a=3.474 b=4.536 c=4.536 alpha=90.00 beta=90.00 gamma=90.00
Element x y z (fractional)
Al: 0.500 0.000 0.000
Mo: 0.000 0.500 0.000
Mo: 0.000 0.000 0.500
Pa: 0.500 0.500 0.500

Calculated values
Its polymorph energy (0 for the lowest one) is 31 meV/atom. The calculated total energy comes out at -35.15 eV per cell. Its symmetry is P4/mmm.

---

Material: PaAlMo
Method: DFT, PBE
State: optimized geometry

Unit cell a=3.266 b=3.266 c=6.017 alpha=105.75 beta=105.75 gamma=90.00
Element x y z (fractional)
Al: 0.029 0.029 0.058
Pa: 0.316 0.316 0.633
Mo: 0.655 0.655 0.309

Calculated values
Its polymorph energy (0 for the lowest one) is 223 meV/atom. The calculated total energy comes out at -23.99 eV per cell. Its symmetry is I4mm.

---

Material: PaAl2Mo
Method: DFT, PBE
State: optimized geometry

Unit cell a=3.248 b=3.248 c=7.011 alpha=90.00 beta=90.00 gamma=90.00
Element x y z (fractional)
Pa: 0.500 0.500 0.500
Al: 0.000 0.000 0.805
Al: 0.000 0.000 0.195
Mo: 0.500 0.500 0.000

Calculated values
Its polymorph energy (0 for the lowest one) is 206 meV/atom. The calculated total energy comes out at -28.09 eV per cell. Its symmetry is P4/mmm.

---

Material: PaAlMo
Method: DFT, PBE
State: optimized geometry

Unit cell a=4.379 b=4.379 c=3.525 alpha=90.00 beta=90.00 gamma=114.90
Element x y z (fractional)
Al: 0.244 0.756 0.000
Mo: 0.891 0.109 0.000
Pa: 0.590 0.410 0.500

Calculated values
Its polymorph energy (0 for the lowest one) is 304 meV/atom. The calculated total energy comes out at -23.75 eV per cell. Its symmetry is Amm2.

---

Material: PaAl2Mo
Method: DFT, PBE
State: optimized geometry

Unit cell a=2.954 b=2.954 c=9.952 alpha=81.47 beta=81.47 gamma=60.00
Element x y z (fractional)
Al: 0.240 0.240 0.279
Al: 0.760 0.760 0.721
Mo: 0.500 0.500 0.500
Pa: 0.000 0.000 0.000

Calculated values
Its polymorph energy (0 for the lowest one) is 268 meV/atom. The calculated total energy comes out at -27.84 eV per cell. Its symmetry is R-3m.

---

Material: PaAlMo
Method: DFT, PBE
State: optimized geometry

Unit cell a=3.071 b=4.675 c=4.675 alpha=120.00 beta=90.00 gamma=90.00
Element x y z (fractional)
Mo: 0.388 0.667 0.333
Pa: 0.049 0.000 0.000
Al: 0.563 0.333 0.667

Calculated values
Its polymorph energy (0 for the lowest one) is 302 meV/atom. The calculated total energy comes out at -23.75 eV per cell. Its symmetry is P3m1.

---

Material: PaAlMo2
Method: DFT, PBE
State: optimized geometry

Unit cell a=4.639 b=4.639 c=4.639 alpha=60.00 beta=60.00 gamma=60.00
Element x y z (fractional)
Al: 0.500 0.500 0.500
Mo: 0.750 0.750 0.750
Mo: 0.250 0.250 0.250
Pa: 0.000 0.000 0.000

Calculated values
Its polymorph energy (0 for the lowest one) is 0 meV/atom. The calculated total energy comes out at -35.28 eV per cell. Its symmetry is Fm-3m.

---

Material: PaAl2Mo
Method: DFT, PBE
State: optimized geometry

Unit cell a=4.684 b=5.152 c=6.675 alpha=90.00 beta=90.00 gamma=107.10
Element x y z (fractional)
Al: 0.417 0.724 0.053
Pa: 0.969 0.865 0.750
Mo: 0.886 0.609 0.250
Al: 0.417 0.724 0.447
Al: 0.583 0.276 0.553
Pa: 0.031 0.135 0.250
Mo: 0.114 0.391 0.750
Al: 0.583 0.276 0.947

Calculated values
Its polymorph energy (0 for the lowest one) is 0 meV/atom. The calculated total energy comes out at -57.83 eV per cell. Its symmetry is P2_1/m.

---

Material: Pa2AlMo3
Method: DFT, PBE
State: optimized geometry

Unit cell a=5.458 b=5.458 c=5.458 alpha=60.08 beta=60.08 gamma=60.08
Element x y z (fractional)
Pa: 0.376 0.376 0.376
Pa: 0.624 0.624 0.624
Mo: 0.000 0.000 0.500
Al: 0.000 0.000 0.000
Mo: 0.500 0.000 0.000
Mo: 0.000 0.500 0.000

Calculated values
The calculated total energy comes out at -55.80 eV per cell. Its symmetry is R-3m.

---

Number 1: calculated density 6.90 Mg/m³. Number 2: calculated density 7.13 Mg/m³. Number 3: calculated density 5.16 Mg/m³. Number 4: calculated density 5.10 Mg/m³. Number 5: calculated density 6.91 Mg/m³. Number 6: calculated density 5.73 Mg/m³. Number 7: calculated density 3.78 Mg/m³. Number 8: calculated density 3.43 Mg/m³. Number 9: calculated density 5.15 Mg/m³. Number 10: calculated density 3.14 Mg/m³. Number 11: calculated density 5.93 Mg/m³. Number 12: calculated density 10.45 Mg/m³. Number 13: calculated density 9.92 Mg/m³. Number 14: calculated density 8.56 Mg/m³. Number 15: calculated density 9.58 Mg/m³. Number 16: calculated density 8.54 Mg/m³. Number 17: calculated density 10.11 Mg/m³. Number 18: calculated density 10.58 Mg/m³. Number 19: calculated density 8.22 Mg/m³. Number 20: calculated density 11.20 Mg/m³.